[1]
Entry from Alexandria: a relaxed RbGaN2O crystal (PBE-GGA).

Cell lengths 5.3859, 5.3859, 4.9652 Å; angles 90.00, 90.00, 90.00 degrees
Positions (direct):
Rb 0.0000 0.0000 0.0000
Ga 0.5000 0.5000 0.5000
N 0.0000 0.5000 0.0000
N 0.5000 0.0000 0.0000
O 0.0000 0.0000 0.5000

Properties
Its crystal system is tetragonal. The value obtained for the calculated total energy is -15.39 eV per formula unit. The uncorrected formation energy is 2.043 eV/atom.



[2]
Entry from Alexandria: a relaxed RbGaN2O crystal (PBE-GGA).

Cell lengths 4.2533, 4.2533, 4.0386 Å; angles 90.00, 90.00, 90.00 degrees
Positions (direct):
Rb 0.0000 0.0000 0.0000
Ga 0.5000 0.5000 0.5000
N 0.0000 0.5000 0.5000
N 0.5000 0.0000 0.5000
O 0.5000 0.5000 0.0000

Properties
Its crystal system is tetragonal. The value obtained for the calculated total energy is -22.65 eV per formula unit. The uncorrected formation energy is 0.590 eV/atom.



[3]
Entry from Alexandria: a relaxed GaReN2O crystal (PBE-GGA).

Cell lengths 3.8501, 3.8501, 3.7296 Å; angles 90.00, 90.00, 90.00 degrees
Positions (direct):
Ga 0.0000 0.0000 0.0000
Re 0.5000 0.5000 0.5000
N 0.0000 0.5000 0.0000
N 0.5000 0.0000 0.0000
O 0.0000 0.0000 0.5000

Properties
Its crystal system is tetragonal. The value obtained for the calculated total energy is -30.73 eV per formula unit. The uncorrected formation energy is 1.271 eV/atom.



[4]
Entry from Alexandria: a relaxed GaReN2O crystal (PBE-GGA).

Cell lengths 3.9271, 3.9271, 3.9334 Å; angles 90.00, 90.00, 90.00 degrees
Positions (direct):
Ga 0.0000 0.0000 0.0000
Re 0.5000 0.5000 0.5000
N 0.0000 0.5000 0.5000
N 0.5000 0.0000 0.5000
O 0.5000 0.5000 0.0000

Properties
Its crystal system is tetragonal. The value obtained for the calculated total energy is -37.06 eV per formula unit. The uncorrected formation energy is 0.004 eV/atom.



[5]
Entry from Alexandria: a relaxed GaReNO2 crystal (PBE-GGA).

Cell lengths 3.9296, 3.9296, 3.9233 Å; angles 90.00, 90.00, 90.00 degrees
Positions (direct):
Ga 0.0000 0.0000 0.0000
Re 0.5000 0.5000 0.5000
N 0.5000 0.5000 0.0000
O 0.0000 0.5000 0.5000
O 0.5000 0.0000 0.5000

Properties
Its crystal system is tetragonal. The value obtained for the calculated total energy is -36.77 eV per formula unit. The uncorrected formation energy is -0.610 eV/atom.



[6]
Entry from Alexandria: a relaxed GaReNO2 crystal (PBE-GGA).

Cell lengths 3.7150, 3.7150, 4.0075 Å; angles 90.00, 90.00, 90.00 degrees
Positions (direct):
Ga 0.0000 0.0000 0.0000
Re 0.5000 0.5000 0.5000
N 0.0000 0.0000 0.5000
O 0.0000 0.5000 0.0000
O 0.5000 0.0000 0.0000

Properties
Its crystal system is tetragonal. The value obtained for the calculated total energy is -30.90 eV per formula unit. The uncorrected formation energy is 0.563 eV/atom.



[7]
Entry from Alexandria: a relaxed GaRhNO2 crystal (PBE-GGA).

Cell lengths 4.0532, 4.0532, 3.7035 Å; angles 90.00, 90.00, 90.00 degrees
Positions (direct):
Ga 0.0000 0.0000 0.0000
Rh 0.5000 0.5000 0.5000
N 0.5000 0.5000 0.0000
O 0.0000 0.5000 0.5000
O 0.5000 0.0000 0.5000

Properties
Its crystal system is tetragonal. The value obtained for the calculated total energy is -27.71 eV per formula unit. The uncorrected formation energy is 0.182 eV/atom.



[8]
Entry from Alexandria: a relaxed GaRhNO2 crystal (PBE-GGA).

Cell lengths 3.7676, 3.7676, 3.9654 Å; angles 90.00, 90.00, 90.00 degrees
Positions (direct):
Ga 0.0000 0.0000 0.0000
Rh 0.5000 0.5000 0.5000
N 0.0000 0.0000 0.5000
O 0.0000 0.5000 0.0000
O 0.5000 0.0000 0.0000

Properties
Its crystal system is tetragonal. The value obtained for the calculated total energy is -26.34 eV per formula unit. The uncorrected formation energy is 0.457 eV/atom.



[9]
Entry from Alexandria: a relaxed GaS2NO crystal (PBE-GGA).

Cell lengths 4.1182, 4.1182, 3.9311 Å; angles 90.00, 90.00, 90.00 degrees
Positions (direct):
Ga 0.0000 0.0000 0.0000
S 0.0000 0.5000 0.5000
S 0.5000 0.0000 0.5000
N 0.5000 0.5000 0.0000
O 0.5000 0.5000 0.5000

Properties
Its crystal system is tetragonal. The value obtained for the calculated total energy is -17.87 eV per formula unit. The uncorrected formation energy is 1.339 eV/atom.



[10]
Entry from Alexandria: a relaxed Ga2SNO crystal (PBE-GGA).

Cell lengths 4.4596, 4.4596, 3.6426 Å; angles 90.00, 90.00, 90.00 degrees
Positions (direct):
Ga 0.0000 0.5000 0.0000
Ga 0.5000 0.0000 0.0000
S 0.0000 0.0000 0.5000
N 0.5000 0.5000 0.5000
O 0.5000 0.5000 0.0000

Properties
Its crystal system is tetragonal. The value obtained for the calculated total energy is -19.75 eV per formula unit. The uncorrected formation energy is 0.742 eV/atom.



[11]
Entry from Alexandria: a relaxed GaSNO2 crystal (PBE-GGA).

Cell lengths 3.7914, 3.7914, 4.0483 Å; angles 90.00, 90.00, 90.00 degrees
Positions (direct):
Ga 0.0000 0.0000 0.0000
S 0.5000 0.5000 0.5000
N 0.0000 0.0000 0.5000
O 0.0000 0.5000 0.0000
O 0.5000 0.0000 0.0000

Properties
Its crystal system is tetragonal. The value obtained for the calculated total energy is -21.74 eV per formula unit. The uncorrected formation energy is 0.731 eV/atom.



[12]
Entry from Alexandria: a relaxed GaSNO2 crystal (PBE-GGA).

Cell lengths 3.5245, 3.5245, 4.0956 Å; angles 90.00, 90.00, 90.00 degrees
Positions (direct):
Ga 0.0000 0.0000 0.0000
S 0.5000 0.5000 0.5000
N 0.5000 0.5000 0.0000
O 0.0000 0.5000 0.5000
O 0.5000 0.0000 0.5000

Properties
Its crystal system is tetragonal. The value obtained for the calculated total energy is -23.25 eV per formula unit. The uncorrected formation energy is 0.429 eV/atom.



[13]
Entry from Alexandria: a relaxed GaSe2NO8 crystal (PBE-GGA).

Cell lengths 5.0165, 5.0165, 8.8402 Å; angles 90.00, 90.00, 120.00 degrees
Positions (direct):
Ga 0.0000 0.0000 0.0000
Se 0.3333 0.6667 0.2095
Se 0.6667 0.3333 0.7905
N 0.0000 0.0000 0.5000
O 0.0445 0.3286 0.1448
O 0.2841 0.9555 0.1448
O 0.3286 0.0445 0.8552
O 0.3333 0.6667 0.3956
O 0.6667 0.3333 0.6044
O 0.6714 0.7159 0.1448
O 0.7159 0.6714 0.8552
O 0.9555 0.2841 0.8552

Properties
Its crystal system is trigonal. The value obtained for the calculated total energy is -59.59 eV per formula unit. The uncorrected formation energy is -0.134 eV/atom.



[14]
Entry from Alexandria: a relaxed GaSi2NO crystal (PBE-GGA).

Cell lengths 3.7660, 3.7660, 5.4073 Å; angles 90.00, 90.00, 90.00 degrees
Positions (direct):
Ga 0.0000 0.0000 0.0000
Si 0.0000 0.5000 0.5000
Si 0.5000 0.0000 0.5000
N 0.0000 0.0000 0.5000
O 0.5000 0.5000 0.0000

Properties
Its crystal system is tetragonal. The value obtained for the calculated total energy is -23.34 eV per formula unit. The uncorrected formation energy is 0.764 eV/atom.



[15]
Entry from Alexandria: a relaxed SmGaNO crystal (PBE-GGA).

Cell lengths 3.4730, 3.4730, 11.0715 Å; angles 90.00, 90.00, 120.00 degrees
Positions (direct):
Sm 0.3333 0.6667 0.0000
Sm 0.6667 0.3333 0.5000
Ga 0.0000 0.0000 0.2861
Ga 0.0000 0.0000 0.7861
N 0.3333 0.6667 0.3420
N 0.6667 0.3333 0.8420
O 0.0000 0.0000 0.1148
O 0.0000 0.0000 0.6148

Properties
Its crystal system is hexagonal. The value obtained for the calculated total energy is -26.54 eV per formula unit. The uncorrected formation energy is -1.378 eV/atom.



[16]
Entry from Alexandria: a relaxed GaSnN2O crystal (PBE-GGA).

Cell lengths 3.9745, 3.9745, 3.8121 Å; angles 90.00, 90.00, 90.00 degrees
Positions (direct):
Ga 0.0000 0.0000 0.0000
Sn 0.5000 0.5000 0.5000
N 0.0000 0.5000 0.0000
N 0.5000 0.0000 0.0000
O 0.0000 0.0000 0.5000

Properties
Its crystal system is tetragonal. The value obtained for the calculated total energy is -25.58 eV per formula unit. The uncorrected formation energy is 0.612 eV/atom.



[17]
Entry from Alexandria: a relaxed GaSnN2O crystal (PBE-GGA).

Cell lengths 4.2757, 4.2757, 4.0970 Å; angles 90.00, 90.00, 90.00 degrees
Positions (direct):
Ga 0.0000 0.0000 0.0000
Sn 0.5000 0.5000 0.5000
N 0.0000 0.5000 0.5000
N 0.5000 0.0000 0.5000
O 0.5000 0.5000 0.0000

Properties
Its crystal system is tetragonal. The value obtained for the calculated total energy is -24.57 eV per formula unit. The uncorrected formation energy is 0.814 eV/atom.



[18]
Entry from Alexandria: a relaxed SrGaNO2 crystal (PBE-GGA).

Cell lengths 4.0558, 4.0558, 3.9032 Å; angles 90.00, 90.00, 90.00 degrees
Positions (direct):
Sr 0.0000 0.0000 0.0000
Ga 0.5000 0.5000 0.5000
N 0.5000 0.5000 0.0000
O 0.0000 0.5000 0.5000
O 0.5000 0.0000 0.5000

Properties
Its crystal system is tetragonal. The value obtained for the calculated total energy is -28.41 eV per formula unit. The uncorrected formation energy is -1.092 eV/atom.



[19]
Entry from Alexandria: a relaxed SrGaNO2 crystal (PBE-GGA).

Cell lengths 4.7171, 4.7171, 5.0381 Å; angles 90.00, 90.00, 90.00 degrees
Positions (direct):
Sr 0.0000 0.0000 0.0000
Ga 0.5000 0.5000 0.5000
N 0.0000 0.0000 0.5000
O 0.0000 0.5000 0.0000
O 0.5000 0.0000 0.0000

Properties
Its crystal system is tetragonal. The value obtained for the calculated total energy is -21.12 eV per formula unit. The uncorrected formation energy is 0.365 eV/atom.



[20]
Entry from Alexandria: a relaxed GaTcNO2 crystal (PBE-GGA).

Cell lengths 3.9140, 3.9140, 3.9225 Å; angles 90.00, 90.00, 90.00 degrees
Positions (direct):
Ga 0.0000 0.0000 0.0000
Tc 0.5000 0.5000 0.5000
N 0.5000 0.5000 0.0000
O 0.0000 0.5000 0.5000
O 0.5000 0.0000 0.5000

Properties
Its crystal system is tetragonal. The value obtained for the calculated total energy is -33.96 eV per formula unit. The uncorrected formation energy is -0.465 eV/atom.



[21]
Entry from Alexandria: a relaxed GaTcNO2 crystal (PBE-GGA).

Cell lengths 3.7669, 3.7669, 3.9715 Å; angles 90.00, 90.00, 90.00 degrees
Positions (direct):
Ga 0.0000 0.0000 0.0000
Tc 0.5000 0.5000 0.5000
N 0.0000 0.0000 0.5000
O 0.0000 0.5000 0.0000
O 0.5000 0.0000 0.0000

Properties
Its crystal system is tetragonal. The value obtained for the calculated total energy is -30.30 eV per formula unit. The uncorrected formation energy is 0.266 eV/atom.



[22]
Entry from Alexandria: a relaxed GaTeN2O crystal (PBE-GGA).

Cell lengths 3.9370, 3.9370, 3.8345 Å; angles 90.00, 90.00, 90.00 degrees
Positions (direct):
Ga 0.0000 0.0000 0.0000
Te 0.5000 0.5000 0.5000
N 0.0000 0.5000 0.0000
N 0.5000 0.0000 0.0000
O 0.0000 0.0000 0.5000

Properties
Its crystal system is tetragonal. The value obtained for the calculated total energy is -23.88 eV per formula unit. The uncorrected formation energy is 0.779 eV/atom.



[23]
Entry from Alexandria: a relaxed GaTeN2O crystal (PBE-GGA).

Cell lengths 3.6626, 3.6626, 6.5175 Å; angles 90.00, 90.00, 90.00 degrees
Positions (direct):
Ga 0.0000 0.0000 0.0000
Te 0.0000 0.0000 0.5000
N 0.0000 0.5000 0.0000
N 0.5000 0.0000 0.0000
O 0.5000 0.5000 0.5000

Properties
Its crystal system is tetragonal. The value obtained for the calculated total energy is -21.24 eV per formula unit. The uncorrected formation energy is 1.308 eV/atom.



[24]
Entry from Alexandria: a relaxed GaTeN2O crystal (PBE-GGA).

Cell lengths 4.0409, 4.0409, 4.2477 Å; angles 90.00, 90.00, 90.00 degrees
Positions (direct):
Ga 0.0000 0.0000 0.0000
Te 0.5000 0.5000 0.0000
N 0.0000 0.5000 0.5000
N 0.5000 0.0000 0.5000
O 0.5000 0.5000 0.5000

Properties
Its crystal system is tetragonal. The value obtained for the calculated total energy is -18.70 eV per formula unit. The uncorrected formation energy is 1.815 eV/atom.



[25]
Entry from Alexandria: a relaxed GaTeN2O crystal (PBE-GGA).

Cell lengths 4.0476, 4.0476, 3.9552 Å; angles 90.00, 90.00, 90.00 degrees
Positions (direct):
Ga 0.0000 0.0000 0.0000
Te 0.5000 0.5000 0.5000
N 0.0000 0.5000 0.5000
N 0.5000 0.0000 0.5000
O 0.5000 0.5000 0.0000

Properties
Its crystal system is tetragonal. The value obtained for the calculated total energy is -23.73 eV per formula unit. The uncorrected formation energy is 0.809 eV/atom.



[26]
Entry from Alexandria: a relaxed GaTeNO2 crystal (PBE-GGA).

Cell lengths 3.7919, 3.7919, 4.0839 Å; angles 90.00, 90.00, 90.00 degrees
Positions (direct):
Ga 0.0000 0.0000 0.0000
Te 0.5000 0.5000 0.5000
N 0.0000 0.0000 0.5000
O 0.0000 0.5000 0.0000
O 0.5000 0.0000 0.0000

Properties
Its crystal system is tetragonal. The value obtained for the calculated total energy is -24.55 eV per formula unit. The uncorrected formation energy is -0.027 eV/atom.



[27]
Entry from Alexandria: a relaxed GaTeNO2 crystal (PBE-GGA).

Cell lengths 4.0197, 4.0197, 4.0890 Å; angles 90.00, 90.00, 90.00 degrees
Positions (direct):
Ga 0.0000 0.0000 0.0000
Te 0.5000 0.5000 0.5000
N 0.5000 0.5000 0.0000
O 0.0000 0.5000 0.5000
O 0.5000 0.0000 0.5000

Properties
Its crystal system is tetragonal. The value obtained for the calculated total energy is -24.15 eV per formula unit. The uncorrected formation energy is 0.052 eV/atom.



[28]
Entry from Alexandria: a relaxed TlGaNO2 crystal (PBE-GGA).

Cell lengths 3.9939, 3.9939, 3.9494 Å; angles 90.00, 90.00, 90.00 degrees
Positions (direct):
Tl 0.0000 0.0000 0.0000
Ga 0.5000 0.5000 0.5000
N 0.5000 0.5000 0.0000
O 0.0000 0.5000 0.5000
O 0.5000 0.0000 0.5000

Properties
Its crystal system is tetragonal. The value obtained for the calculated total energy is -23.62 eV per formula unit. The uncorrected formation energy is 0.003 eV/atom.